Entry from Alexandria: a relaxed structure of AcTaMnO6 (GGA+U).

Values from the calculation:
DFT total energy = -149.037 eV/cell
spin magnetization = 0.33 μB per atom

abc: 4.973 4.973 9.835
angles: 90.00 90.00 90.00
Last column: magnetic moment on the atom in μB.
Atoms (fractional coordinates):
Mn (0.000, 0.000, 0.335)  3.32
O (0.338, 0.338, 0.995)  -0.11
O (0.662, 0.662, 0.995)  -0.11
O (0.162, 0.838, 0.495)  -0.11
O (0.220, 0.780, 0.799)  -0.04
Mn (0.500, 0.500, 0.835)  3.32
O (0.838, 0.162, 0.495)  -0.11
O (0.282, 0.282, 0.699)  -0.04
O (0.718, 0.718, 0.699)  -0.04
Ac (0.000, 0.000, 0.007)  -0.01
Ac (0.500, 0.500, 0.507)  -0.01
O (0.720, 0.720, 0.299)  -0.04
O (0.280, 0.280, 0.299)  -0.04
Ta (0.000, 0.000, 0.671)  0.03
O (0.782, 0.218, 0.199)  -0.04
O (0.218, 0.782, 0.199)  -0.04
O (0.780, 0.220, 0.799)  -0.04
Ta (0.500, 0.500, 0.171)  0.03